1.
# ThNi2As3 (PBE, optimized geometry)
data_ThNi2As3
_chemical_formula_sum 'Th2 Ni4 As6'
_space_group_name_H-M_alt 'P m c 21'
_space_group_IT_number 26
_space_group_name_Hall 'P 2c -2'
_cell_length_a 3.642
_cell_length_b 11.474
_cell_length_c 5.173
_cell_angle_alpha 90.00
_cell_angle_beta 90.00
_cell_angle_gamma 90.00
loop_
_atom_site_label
_atom_site_type_symbol
_atom_site_fract_x
_atom_site_fract_y
_atom_site_fract_z
Th1 Th 0.000 0.130 0.000
Ni1 Ni 0.000 0.263 0.482
Ni2 Ni 0.500 0.482 0.500
As1 As 0.000 0.409 0.790
As2 As 0.500 0.114 0.518
As3 As 0.500 0.322 0.203
# V ... 18.015 A^3/atom
# Magnetic moment ... 0.000 Bohr magnetons per cell
# Fermi-level density of states ... 0.4469 states/eV/atom
# E_form ... -53.4 kJ/mol of atoms


2.
# NaSc3N (PBE, optimized geometry)
data_NaSc3N
_chemical_formula_sum 'Na1 Sc3 N1'
_space_group_name_H-M_alt 'P m -3 m'
_space_group_IT_number 221
_space_group_name_Hall '-P 4 2 3'
_cell_length_a 5.043
_cell_length_b 5.043
_cell_length_c 5.043
_cell_angle_alpha 90.00
_cell_angle_beta 90.00
_cell_angle_gamma 90.00
loop_
_atom_site_label
_atom_site_type_symbol
_atom_site_fract_x
_atom_site_fract_y
_atom_site_fract_z
Na1 Na 0.000 0.000 0.000
Sc1 Sc 0.000 0.000 0.500
N1 N 0.500 0.500 0.500
# V ... 25.651 A^3/atom
# Magnetic moment ... 1.853 Bohr magnetons per cell
# Fermi-level density of states ... 1.8007 states/eV/atom
# Formation energy (no corrections) ... 9.88 eV/f.u.


3.
# UGa2Ru (PBE, optimized geometry)
data_UGa2Ru
_chemical_formula_sum 'U3 Ga6 Ru3'
_space_group_name_H-M_alt 'R -3 m'
_space_group_IT_number 166
_space_group_name_Hall '-R 3 2"'
_cell_length_a 2.9121
_cell_length_b 2.9121
_cell_length_c 29.9865
_cell_angle_alpha 90.00
_cell_angle_beta 90.00
_cell_angle_gamma 120.00
loop_
_atom_site_label
_atom_site_type_symbol
_atom_site_fract_x
_atom_site_fract_y
_atom_site_fract_z
U1 U 0.0000 0.0000 0.0000
Ga1 Ga 0.0000 0.0000 0.1003
Ru1 Ru 0.0000 0.0000 0.5000
# V ... 18.353 A^3/atom
# Magnetic moment ... 6.898 Bohr magnetons per cell
# Fermi-level density of states ... 1.8933 states/eV/atom
# E_form ... 13.5 kJ/mol of atoms